The following is a PBE calculation of SrPt2Au after structural relaxation, from Alexandria.

- size of the total moment (μB/atom) = 0.000
- energy of formation from the pure elements (eV/atom) = -0.21

Unit cell a=6.8804 b=6.8804 c=6.8804 alpha=90.00 beta=90.00 gamma=90.00
Closest atoms and distances in Å follow each position.
Positions (direct):
Sr 0.0000 0.0000 0.0000  4 Pt 2.98, 4 Au 2.98
Sr 0.0000 0.5000 0.5000  4 Pt 2.98, 4 Au 2.98
Sr 0.5000 0.0000 0.5000  4 Pt 2.98, 4 Au 2.98
Sr 0.5000 0.5000 0.0000  4 Pt 2.98, 4 Au 2.98
Pt 0.0000 0.0000 0.5000  4 Pt 2.98, 4 Au 2.98
Pt 0.0000 0.5000 0.0000  4 Pt 2.98, 4 Au 2.98
Pt 0.2500 0.2500 0.2500  4 Sr 2.98, 4 Pt 2.98
Pt 0.2500 0.7500 0.7500  4 Sr 2.98, 4 Pt 2.98
Pt 0.5000 0.0000 0.0000  4 Pt 2.98, 4 Au 2.98
Pt 0.5000 0.5000 0.5000  4 Pt 2.98, 4 Au 2.98
Pt 0.7500 0.2500 0.7500  4 Sr 2.98, 4 Pt 2.98
Pt 0.7500 0.7500 0.2500  4 Sr 2.98, 4 Pt 2.98
Au 0.2500 0.2500 0.7500  4 Sr 2.98, 4 Pt 2.98
Au 0.2500 0.7500 0.2500  4 Sr 2.98, 4 Pt 2.98
Au 0.7500 0.2500 0.2500  4 Sr 2.98, 4 Pt 2.98
Au 0.7500 0.7500 0.7500  4 Sr 2.98, 4 Pt 2.98

=====

The following is a PBE calculation of Sr3Pt2Au after structural relaxation, from Alexandria.

- size of the total moment (μB/atom) = 0.000
- energy of formation from the pure elements (eV/atom) = -0.76

Unit cell a=5.2841 b=15.8149 c=3.7510 alpha=90.00 beta=90.00 gamma=90.00
Closest atoms and distances in Å follow each position.
Positions (direct):
Sr 0.0000 0.0000 0.0000  4 Pt 3.19, 4 Au 3.24
Sr 0.0000 0.3270 0.0000  6 Pt 3.20-3.24, 2 Au 3.32
Sr 0.0000 0.6730 0.0000  6 Pt 3.20-3.24, 2 Au 3.32
Sr 0.5000 0.1730 0.0000  6 Pt 3.20-3.24, 2 Au 3.32
Sr 0.5000 0.5000 0.0000  4 Pt 3.19, 4 Au 3.24
Sr 0.5000 0.8270 0.0000  6 Pt 3.20-3.24, 2 Au 3.32
Pt 0.0000 0.1632 0.5000  8 Sr 3.19-3.24
Pt 0.0000 0.8368 0.5000  8 Sr 3.19-3.24
Pt 0.5000 0.3368 0.5000  8 Sr 3.19-3.24
Pt 0.5000 0.6632 0.5000  8 Sr 3.19-3.24
Au 0.0000 0.5000 0.5000  8 Sr 3.24-3.32
Au 0.5000 0.0000 0.5000  8 Sr 3.24-3.32

=====

The following is a PBE calculation of SrPt2Au2 after structural relaxation, from Alexandria.

- size of the total moment (μB/atom) = 0.000
- energy of formation from the pure elements (eV/atom) = -0.39

Unit cell a=4.2094 b=4.2094 c=12.3254 alpha=90.00 beta=90.00 gamma=90.00
Closest atoms and distances in Å follow each position.
Positions (direct):
Sr 0.0000 0.0000 0.0000  8 Pt 3.23
Sr 0.5000 0.5000 0.5000  8 Pt 3.23
Pt 0.0000 0.0000 0.3983  1 Pt 2.51, 4 Au 2.79
Pt 0.0000 0.0000 0.6017  1 Pt 2.51, 4 Au 2.79
Pt 0.5000 0.5000 0.1017  1 Pt 2.51, 4 Au 2.79
Pt 0.5000 0.5000 0.8983  1 Pt 2.51, 4 Au 2.79
Au 0.0000 0.5000 0.2500  4 Pt 2.79, 4 Au 2.98
Au 0.0000 0.5000 0.7500  4 Pt 2.79, 4 Au 2.98
Au 0.5000 0.0000 0.2500  4 Pt 2.79, 4 Au 2.98
Au 0.5000 0.0000 0.7500  4 Pt 2.79, 4 Au 2.98

=====

The following is a PBE calculation of SrPt2Au after structural relaxation, from Alexandria.

- size of the total moment (μB/atom) = 0.000
- energy of formation from the pure elements (eV/atom) = -0.24

Unit cell a=3.0988 b=4.1039 c=6.3671 alpha=90.00 beta=90.00 gamma=90.00
Closest atoms and distances in Å follow each position.
Positions (direct):
Sr 0.0000 0.0000 0.0000  2 Sr 3.10, 8 Pt 3.15, 2 Au 3.18
Pt 0.5000 0.5000 0.2868  1 Pt 2.72, 4 Au 2.91
Pt 0.5000 0.5000 0.7132  1 Pt 2.72, 4 Au 2.91
Au 0.0000 0.0000 0.5000  8 Pt 2.91, 2 Au 3.10, 2 Sr 3.18

=====

The following is a PBE calculation of SrPtAu after structural relaxation, from Alexandria.

- size of the total moment (μB/atom) = 0.000
- energy of formation from the pure elements (eV/atom) = -0.44

Unit cell a=3.3093 b=4.0843 c=10.1171 alpha=90.00 beta=90.00 gamma=90.00
Closest atoms and distances in Å follow each position.
Positions (direct):
Sr 0.0000 0.0000 0.0000  5 Au 3.06-3.30, 5 Pt 3.13-3.26, 2 Sr 3.31
Sr 0.5000 0.5000 0.5000  5 Au 3.06-3.30, 5 Pt 3.13-3.26, 2 Sr 3.31
Pt 0.0000 0.0000 0.6910  4 Au 2.86, 1 Sr 3.13
Pt 0.5000 0.5000 0.1910  4 Au 2.86, 1 Sr 3.13
Au 0.0000 0.0000 0.3027  4 Pt 2.86, 1 Sr 3.06
Au 0.5000 0.5000 0.8027  4 Pt 2.86, 1 Sr 3.06

=====

The following is a PBE calculation of SrPt2Au after structural relaxation, from Alexandria.

- size of the total moment (μB/atom) = 0.000
- energy of formation from the pure elements (eV/atom) = -0.40

Unit cell a=4.3017 b=4.5176 c=5.2038 alpha=90.00 beta=91.95 gamma=90.00
Closest atoms and distances in Å follow each position.
Positions (direct):
Sr 0.0000 0.0000 0.0000  8 Pt 3.31-3.43, 4 Au 3.32-3.43
Pt 0.4685 0.5000 0.7570  2 Pt 2.53-2.70, 2 Au 2.63
Pt 0.5315 0.5000 0.2430  2 Pt 2.53-2.70, 2 Au 2.63
Au 0.5000 0.0000 0.5000  4 Pt 2.63

=====

The following is a PBE calculation of Sr6PtAu2 after structural relaxation, from Alexandria.

- size of the total moment (μB/atom) = 0.000
- energy of formation from the pure elements (eV/atom) = -0.60

Unit cell a=7.7447 b=7.2005 c=15.3581 alpha=90.00 beta=120.28 gamma=90.00
Closest atoms and distances in Å follow each position.
Positions (direct):
Sr 0.0035 0.2392 0.3400  1 Pt 3.01, 2 Au 3.13-3.14
Sr 0.0035 0.2608 0.8400  1 Pt 3.01, 2 Au 3.13-3.14
Sr 0.3225 0.2406 0.6597  1 Pt 3.01, 2 Au 3.13-3.14
Sr 0.3225 0.2594 0.1597  1 Pt 3.01, 2 Au 3.13-3.14
Sr 0.3259 0.7302 0.0003  1 Pt 3.02, 2 Au 3.17
Sr 0.3259 0.7698 0.5003  1 Pt 3.02, 2 Au 3.17
Sr 0.6741 0.2302 0.4997  1 Pt 3.02, 2 Au 3.17
Sr 0.6741 0.2698 0.9997  1 Pt 3.02, 2 Au 3.17
Sr 0.6775 0.7406 0.8403  1 Pt 3.01, 2 Au 3.13-3.14
Sr 0.6775 0.7594 0.3403  1 Pt 3.01, 2 Au 3.13-3.14
Sr 0.9965 0.7392 0.1600  1 Pt 3.01, 2 Au 3.13-3.14
Sr 0.9965 0.7608 0.6600  1 Pt 3.01, 2 Au 3.13-3.14
Pt 0.0000 0.0000 0.5000  6 Sr 3.01-3.02
Pt 0.0000 0.5000 0.0000  6 Sr 3.01-3.02
Au 0.3237 0.5009 0.8235  6 Sr 3.13-3.17
Au 0.3237 0.9991 0.3235  6 Sr 3.13-3.17
Au 0.6763 0.0009 0.6765  6 Sr 3.13-3.17
Au 0.6763 0.4991 0.1765  6 Sr 3.13-3.17

=====

The following is a PBE calculation of SrPt3Au9 after structural relaxation, from Alexandria.

- size of the total moment (μB/atom) = 0.000
- energy of formation from the pure elements (eV/atom) = -0.21

Unit cell a=7.2721 b=7.2721 c=7.1402 alpha=98.54 beta=98.54 gamma=133.94
Closest atoms and distances in Å follow each position.
Positions (direct):
Sr 0.0000 0.0000 0.0000  12 Au 3.22-3.55, 2 Pt 3.57
Pt 0.0000 0.0000 0.5000  10 Au 2.78-2.86
Pt 0.0000 0.5000 0.0000  8 Au 2.74-2.88, 2 Pt 2.84
Pt 0.5000 0.0000 0.0000  8 Au 2.74-2.88, 2 Pt 2.84
Au 0.0177 0.6733 0.6601  3 Pt 2.83-2.88, 6 Au 2.96-3.14
Au 0.2790 0.4999 0.7810  3 Pt 2.74-2.78, 6 Au 2.75-3.03
Au 0.3267 0.9823 0.3399  3 Pt 2.83-2.88, 6 Au 2.96-3.14
Au 0.4999 0.2790 0.7810  3 Pt 2.74-2.78, 6 Au 2.75-3.03
Au 0.5000 0.5000 0.5000  8 Au 2.75-2.96, 2 Pt 2.84
Au 0.5001 0.7210 0.2190  3 Pt 2.74-2.78, 6 Au 2.75-3.03
Au 0.6733 0.0177 0.6601  3 Pt 2.83-2.88, 6 Au 2.96-3.14
Au 0.7210 0.5001 0.2190  3 Pt 2.74-2.78, 6 Au 2.75-3.03
Au 0.9823 0.3267 0.3399  3 Pt 2.83-2.88, 6 Au 2.96-3.14